# 1
VASP calculation (PBE) on crystalline CsCuTc2 at its relaxed geometry.

Its excess energy over the best structure of this formula in the dataset is 0.0 kJ per mole of atoms. The symmetry is I-42d, No. 122. For the formation energy, the calculation gives 1.49 eV per atom. As for the crystal system: tetragonal. The final energy is -4.93 eV/atom. For the density of states at the Fermi level, the calculation gives 1.05 states/eV per atom.

Lattice parameters (Å, degrees): 4.207 4.207 10.409 78.34 78.34 90.00
Atoms (fractional coordinates):
Cs  0.000  0.000  0.000
Cs  0.750  0.250  0.500
Tc  0.512  0.125  0.250
Tc  0.238  0.625  0.250
Tc  0.375  0.488  0.750
Tc  0.875  0.762  0.750
Cu  0.500  0.500  0.000
Cu  0.250  0.750  0.500

---

# 2
VASP calculation (PBE) on crystalline PmMgGa2Cu at its relaxed geometry.

The symmetry is I-4m2, No. 119. For the formation energy, the calculation gives -0.41 eV per atom. As for the crystal system: tetragonal. The final energy is -3.71 eV/atom. For the density of states at the Fermi level, the calculation gives 0.59 states/eV per atom.

Lattice parameters (Å, degrees): 4.197 4.197 6.359 109.27 109.27 90.00
Atoms (fractional coordinates):
Pm  0.000  0.000  0.000
Mg  0.750  0.250  0.500
Ga  0.610  0.610  0.220
Ga  0.390  0.390  0.780
Cu  0.250  0.750  0.500

---

# 3
VASP calculation (PBE) on crystalline ErPd5Pt4 at its relaxed geometry.

The symmetry is Pmmn, No. 59. For the formation energy, the calculation gives -0.24 eV per atom. As for the crystal system: orthorhombic. The final energy is -5.71 eV/atom. For the density of states at the Fermi level, the calculation gives 1.20 states/eV per atom.

Lattice parameters (Å, degrees): 4.776 7.538 9.667 90.00 90.00 90.00
Atoms (fractional coordinates):
Er  0.876  0.000  0.000
Er  0.124  0.500  0.500
Pd  0.249  0.822  0.732
Pd  0.249  0.178  0.732
Pd  0.770  0.500  0.000
Pd  0.249  0.822  0.268
Pd  0.249  0.178  0.268
Pd  0.751  0.678  0.232
Pd  0.751  0.322  0.232
Pd  0.230  0.000  0.500
Pd  0.751  0.322  0.768
Pd  0.751  0.678  0.768
Pt  0.744  0.000  0.650
Pt  0.376  0.803  0.000
Pt  0.376  0.197  0.000
Pt  0.744  0.000  0.350
Pt  0.256  0.500  0.150
Pt  0.624  0.697  0.500
Pt  0.624  0.303  0.500
Pt  0.256  0.500  0.850

---

# 4
VASP calculation (PBE) on crystalline TiVS2N at its relaxed geometry.

Its excess energy over the best structure of this formula in the dataset is 12.7 kJ per mole of atoms. The symmetry is P4/mmm, No. 123. As for the crystal system: tetragonal. For the uncorrected formation energy, the calculation gives -0.07 eV per atom. The final energy is -6.79 eV/atom. For the density of states at the Fermi level, the calculation gives 0.73 states/eV per atom.

Lattice parameters (Å, degrees): 4.774 4.774 3.751 90.00 90.00 90.00
Each line ends with the local moment (μB).
Atoms (fractional coordinates):
N  0.000  0.000  0.500  -0.37
S  0.000  0.500  0.000  -0.17
S  0.500  0.000  0.000  -0.17
Ti  0.000  0.000  0.000  0.07
V  0.500  0.500  0.500  2.69

---

# 5
VASP calculation (PBE) on crystalline Ce3Se5 at its relaxed geometry.

Its excess energy over the best structure of this formula in the dataset is 1.8 kJ per mole of atoms. The symmetry is P6_3/mcm, No. 193. As for the crystal system: hexagonal. For the uncorrected formation energy, the calculation gives -1.72 eV per atom. The final energy is -6.12 eV/atom. For the density of states at the Fermi level, the calculation gives 2.00 states/eV per atom.

Lattice parameters (Å, degrees): 6.085 8.774 8.774 120.00 90.00 90.00
Each line ends with the local moment (μB).
Atoms (fractional coordinates):
Ce  0.250  0.000  0.374  0.81
Ce  0.250  0.374  0.000  0.81
Ce  0.250  0.626  0.626  0.81
Ce  0.750  0.000  0.626  0.81
Ce  0.750  0.626  0.000  0.81
Ce  0.750  0.374  0.374  0.81
Se  0.000  0.667  0.333  -0.05
Se  0.000  0.333  0.667  -0.05
Se  0.500  0.333  0.667  -0.05
Se  0.500  0.667  0.333  -0.05
Se  0.250  0.000  0.728  -0.04
Se  0.250  0.728  0.000  -0.04
Se  0.250  0.272  0.272  -0.04
Se  0.750  0.000  0.272  -0.04
Se  0.750  0.272  0.000  -0.04
Se  0.750  0.728  0.728  -0.04

---

# 6
VASP calculation (PBE) on crystalline PrRh4Au at its relaxed geometry.

The symmetry is F-43m, No. 216. For the formation energy, the calculation gives -0.25 eV per atom. As for the crystal system: cubic. The final energy is -6.49 eV/atom. For the density of states at the Fermi level, the calculation gives 1.79 states/eV per atom.

Lattice parameters (Å, degrees): 5.320 5.320 5.320 60.00 60.00 60.00
Each line ends with the local moment (μB).
Atoms (fractional coordinates):
Pr  0.250  0.250  0.250  -0.01
Rh  0.626  0.626  0.123  0.09
Rh  0.626  0.123  0.626  0.09
Rh  0.626  0.626  0.626  0.09
Rh  0.123  0.626  0.626  0.09
Au  0.000  0.000  0.000  0.00

---

# 7
VASP calculation (PBE) on crystalline TaIrPbO6 at its relaxed geometry.

The symmetry is Imma, No. 74. As for the crystal system: orthorhombic. For the uncorrected formation energy, the calculation gives -1.52 eV per atom. The final energy is -7.54 eV/atom. For the density of states at the Fermi level, the calculation gives 0.61 states/eV per atom.

Lattice parameters (Å, degrees): 7.427 7.144 7.368 119.00 120.26 90.00
Each line ends with the local moment (μB).
Atoms (fractional coordinates):
Ta  0.500  0.000  0.500  -0.01
Ta  0.000  0.000  0.500  -0.01
Ir  0.500  0.500  0.000  0.55
Ir  0.500  0.000  0.000  0.55
Pb  0.785  0.535  0.570  0.01
Pb  0.215  0.465  0.430  0.01
O  0.431  0.681  0.863  0.03
O  0.813  0.063  0.626  0.06
O  0.814  0.089  0.263  0.07
O  0.448  0.673  0.263  0.07
O  0.448  0.089  0.263  0.07
O  0.814  0.673  0.263  0.07
O  0.569  0.319  0.137  0.03
O  0.187  0.937  0.374  0.06
O  0.186  0.911  0.737  0.07
O  0.552  0.327  0.737  0.07
O  0.552  0.911  0.737  0.07
O  0.186  0.327  0.737  0.07

---

# 8
VASP calculation (PBE) on crystalline NaGaSbI2 at its relaxed geometry.

Its excess energy over the best structure of this formula in the dataset is 29.6 kJ per mole of atoms. The symmetry is P4/mmm, No. 123. As for the crystal system: tetragonal. For the uncorrected formation energy, the calculation gives 0.15 eV per atom. The final energy is -2.16 eV/atom. For the density of states at the Fermi level, the calculation gives 0.21 states/eV per atom.

Lattice parameters (Å, degrees): 6.017 6.017 5.987 90.00 90.00 90.00
Each line ends with the local moment (μB).
Atoms (fractional coordinates):
I  0.000  0.500  0.000  0.14
I  0.500  0.000  0.000  0.14
Sb  0.000  0.000  0.500  0.94
Ga  0.500  0.500  0.500  0.03
Na  0.000  0.000  0.000  0.02

---

- final energy of number 4 (TiVS2N)?
  -6.79 eV/atom